1.
Compound: YZnMo2Se
Source: Alexandria via LeMat-Bulk
Functional: SCAN
Structure: single point on PBEsol structure

abc: 4.585 4.585 5.159
angles: 90.00 90.00 90.00
Fractional coordinates of all 5 atoms:
Y  0.000  0.000  0.000
Zn  0.500  0.500  0.000
Mo  0.000  0.500  0.500
Mo  0.500  0.000  0.500
Se  0.000  0.000  0.500

Summary:
The calculation puts the total magnetization at 1.22 Bohr magnetons per cell. As for the crystal system: tetragonal. As for the formation energy (no corrections): 0.7027 eV/atom. The density comes out at 6.5 g cm⁻³.

***

2.
Compound: MnAlCd2
Source: Alexandria via LeMat-Bulk
Functional: SCAN
Structure: single point on PBEsol structure

abc: 2.898 2.898 8.060
angles: 90.00 90.00 90.00
Fractional coordinates of all 4 atoms:
Mn  0.000  0.000  0.000
Al  0.500  0.500  0.192
Cd  0.000  0.000  0.465
Cd  0.500  0.500  0.757

Summary:
The calculation puts the total magnetization at 3.24 Bohr magnetons per cell. As for the crystal system: tetragonal. The calculation puts the energy of formation at -72 meV/atom. The density comes out at 7.5 g cm⁻³.

***

3.
Compound: ZrRh2Cl
Source: Alexandria via LeMat-Bulk
Functional: SCAN
Structure: single point on PBEsol structure

abc: 3.001 4.464 9.002
angles: 90.00 90.00 90.00
Fractional coordinates of all 8 atoms:
Zr  0.000  0.000  0.000
Zr  0.500  0.500  0.500
Rh  0.000  0.500  0.235
Rh  0.000  0.500  0.765
Rh  0.500  0.000  0.265
Rh  0.500  0.000  0.735
Cl  0.000  0.000  0.500
Cl  0.500  0.500  0.000

Summary:
The calculation puts the total magnetization at 0.00 Bohr magnetons per cell. As for the crystal system: orthorhombic. As for the formation energy (no corrections): -0.3941 eV/atom. As for the offset from the most stable computed form: 0.0 kJ/mol of atoms. The density comes out at 9.2 g cm⁻³.

***

4.
Compound: Ni2H2Rh
Source: Alexandria via LeMat-Bulk
Functional: SCAN
Structure: single point on PBEsol structure

abc: 2.667 2.667 11.182
angles: 90.00 90.00 90.00
Fractional coordinates of all 10 atoms:
Ni  0.000  0.000  0.159
Ni  0.000  0.000  0.841
Ni  0.500  0.500  0.341
Ni  0.500  0.500  0.659
H  0.000  0.500  0.250
H  0.000  0.500  0.750
H  0.500  0.000  0.250
H  0.500  0.000  0.750
Rh  0.000  0.000  0.500
Rh  0.500  0.500  0.000

Summary:
The calculation puts the total magnetization at 2.13 Bohr magnetons per cell. For the total energy, the calculation gives -14.5405 eV/atom. As for the crystal system: tetragonal. The density comes out at 9.3 g cm⁻³.

***

5.
Compound: TaNiHg
Source: Alexandria via LeMat-Bulk
Functional: SCAN
Structure: single point on PBEsol structure

abc: 6.114 6.114 6.114
angles: 90.00 90.00 90.00
Fractional coordinates of all 12 atoms:
Ta  0.000  0.000  0.000
Ta  0.000  0.500  0.500
Ta  0.500  0.000  0.500
Ta  0.500  0.500  0.000
Ni  0.250  0.250  0.250
Ni  0.250  0.750  0.750
Ni  0.750  0.250  0.750
Ni  0.750  0.750  0.250
Hg  0.250  0.250  0.750
Hg  0.250  0.750  0.250
Hg  0.750  0.250  0.250
Hg  0.750  0.750  0.750

Summary:
The calculation puts the total magnetization at 0.00 Bohr magnetons per cell. As for the crystal system: cubic. The calculation puts the energy of formation at 790 meV/atom. The density comes out at 12.8 g cm⁻³.

***

6.
Compound: Mg2TlCu2
Source: Alexandria via LeMat-Bulk
Functional: SCAN
Structure: single point on PBEsol structure

abc: 6.943 6.943 3.586
angles: 90.00 90.00 90.00
Fractional coordinates of all 10 atoms:
Mg  0.163  0.337  0.000
Mg  0.337  0.837  0.000
Mg  0.663  0.163  0.000
Mg  0.837  0.663  0.000
Tl  0.000  0.000  0.500
Tl  0.500  0.500  0.500
Cu  0.125  0.625  0.500
Cu  0.375  0.125  0.500
Cu  0.625  0.875  0.500
Cu  0.875  0.375  0.500

Summary:
The calculation puts the total magnetization at 0.00 Bohr magnetons per cell. As for the crystal system: tetragonal. As for the offset from the most stable computed form: 0.0 kJ/mol of atoms. The calculation puts the energy of formation at -66 meV/atom. The density comes out at 7.3 g cm⁻³.

***

7.
Compound: Al2HgAsH
Source: Alexandria via LeMat-Bulk
Functional: SCAN
Structure: single point on PBEsol structure

abc: 5.013 5.013 5.194
angles: 90.00 90.00 90.00
Fractional coordinates of all 5 atoms:
Al  0.000  0.500  0.000
Al  0.500  0.000  0.000
Hg  0.000  0.000  0.500
As  0.000  0.000  0.000
H  0.500  0.500  0.500

Summary:
The calculation puts the total magnetization at 0.08 Bohr magnetons per cell. For the total energy, the calculation gives -20.4664 eV/atom. As for the crystal system: tetragonal. The density comes out at 4.2 g cm⁻³.

***

8.
Compound: TlHgSb
Source: Alexandria via LeMat-Bulk
Functional: SCAN
Structure: single point on PBEsol structure

abc: 4.184 4.652 16.410
angles: 90.00 90.00 90.00
Fractional coordinates of all 12 atoms:
Tl  0.000  0.000  0.000
Tl  0.000  0.500  0.500
Tl  0.500  0.000  0.500
Tl  0.500  0.500  0.000
Hg  0.000  0.000  0.664
Hg  0.000  0.500  0.164
Hg  0.500  0.000  0.164
Hg  0.500  0.500  0.664
Sb  0.000  0.000  0.329
Sb  0.000  0.500  0.829
Sb  0.500  0.000  0.829
Sb  0.500  0.500  0.329

Summary:
The calculation puts the total magnetization at 0.00 Bohr magnetons per cell. As for the crystal system: orthorhombic. As for the formation energy (no corrections): 0.0814 eV/atom. The density comes out at 11.0 g cm⁻³.

***

9.
Compound: GaH2Pd
Source: Alexandria via LeMat-Bulk
Functional: SCAN
Structure: single point on PBEsol structure

abc: 4.310 4.310 8.734
angles: 90.00 90.00 90.00
Fractional coordinates of all 16 atoms:
Ga  0.000  0.000  0.000
Ga  0.000  0.500  0.250
Ga  0.500  0.000  0.750
Ga  0.500  0.500  0.500
H  0.210  0.250  0.625
H  0.250  0.710  0.875
H  0.250  0.790  0.375
H  0.290  0.250  0.125
H  0.710  0.750  0.125
H  0.750  0.210  0.375
H  0.750  0.290  0.875
H  0.790  0.750  0.625
Pd  0.000  0.000  0.500
Pd  0.000  0.500  0.750
Pd  0.500  0.000  0.250
Pd  0.500  0.500  0.000

Summary:
The calculation puts the total magnetization at 0.00 Bohr magnetons per cell. For the total energy, the calculation gives -13.8223 eV/atom. As for the crystal system: tetragonal. The density comes out at 7.3 g cm⁻³.

***

10.
Compound: Be5Au
Source: Alexandria via LeMat-Bulk
Functional: SCAN
Structure: single point on PBEsol structure

abc: 7.946 2.916 5.233
angles: 90.00 108.86 90.00
Fractional coordinates of all 12 atoms:
Be  0.000  0.000  0.000
Be  0.169  0.500  0.861
Be  0.170  0.500  0.304
Be  0.330  0.000  0.696
Be  0.331  0.000  0.139
Be  0.500  0.500  0.000
Be  0.669  0.000  0.861
Be  0.670  0.000  0.304
Be  0.830  0.500  0.696
Be  0.831  0.500  0.139
Au  0.000  0.000  0.500
Au  0.500  0.500  0.500

Summary:
The calculation puts the total magnetization at 0.00 Bohr magnetons per cell. As for the crystal system: monoclinic. As for the offset from the most stable computed form: 10.8 kJ/mol of atoms. The calculation puts the energy of formation at -118 meV/atom. The density comes out at 7.0 g cm⁻³.

***

11.
Compound: Ba2SbAu
Source: Alexandria via LeMat-Bulk
Functional: SCAN
Structure: single point on PBEsol structure

abc: 4.849 4.849 6.826
angles: 90.00 90.00 90.00
Fractional coordinates of all 4 atoms:
Ba  0.000  0.000  0.000
Ba  0.500  0.500  0.500
Sb  0.000  0.000  0.500
Au  0.500  0.500  0.000

Summary:
The calculation puts the total magnetization at 0.00 Bohr magnetons per cell. As for the crystal system: tetragonal. As for the formation energy (no corrections): -0.9241 eV/atom. The density comes out at 6.1 g cm⁻³.

***

12.
Compound: BaTi3B
Source: Alexandria via LeMat-Bulk
Functional: SCAN
Structure: single point on PBEsol structure

abc: 4.511 4.511 4.511
angles: 90.00 90.00 90.00
Fractional coordinates of all 5 atoms:
Ba  0.000  0.000  0.000
Ti  0.000  0.500  0.500
Ti  0.500  0.000  0.500
Ti  0.500  0.500  0.000
B  0.500  0.500  0.500

Summary:
The calculation puts the total magnetization at 0.00 Bohr magnetons per cell. As for the crystal system: cubic. As for the offset from the most stable computed form: 0.0 kJ/mol of atoms. The calculation puts the energy of formation at 479 meV/atom. The density comes out at 5.3 g cm⁻³.